(1)
DFT (PBE-GGA) results for a geometry-optimized Ac2In5Hg4 structure.

ΔH_f (0 K) = -0.252 eV/atom
DOS(E_F) = 5.584 states/eV/cell
Calculated total energy = -0.17295 Ry per atom
Total magnetic moment = 0.00 μB per atom

Lattice parameters (Å, degrees): 7.7682 7.7682 7.7682 133.26 104.29 93.90
Atoms (fractional coordinates):
Ac 0.1968 0.1968 0.0000
Ac 0.8032 0.8032 0.0000
In 0.0000 0.5000 0.5000
In 0.3213 0.2566 0.5778
In 0.3213 0.7434 0.0647
In 0.6787 0.2566 0.9353
In 0.6787 0.7434 0.4222
Hg 0.0919 0.7518 0.3401
Hg 0.4117 0.7518 0.6599
Hg 0.5883 0.2482 0.3401
Hg 0.9081 0.2482 0.6599

(2)
DFT (PBE-GGA) results for a geometry-optimized Ga2AgAu5 structure.

ΔH_f (0 K) = -0.086 eV/atom
DOS(E_F) = 1.967 states/eV/cell
Calculated total energy = -0.23866 Ry per atom
Energy above the lowest structure with this stoichiometry = 0.0000 eV per atom
Total magnetic moment = 0.00 μB per atom

Lattice parameters (Å, degrees): 7.1129 7.1129 7.1129 154.84 107.56 78.06
Atoms (fractional coordinates):
Ga 0.2418 0.2418 0.0000
Ga 0.7582 0.7582 0.0000
Ag 0.5000 0.0000 0.5000
Au 0.0000 0.0000 0.0000
Au 0.1148 0.3697 0.7451
Au 0.3753 0.6303 0.7451
Au 0.6247 0.3697 0.2549
Au 0.8852 0.6303 0.2549

(3)
DFT (PBE-GGA) results for a geometry-optimized Zr2Ga2Os structure.

ΔH_f (0 K) = -0.535 eV/atom
DOS(E_F) = 9.497 states/eV/cell
Calculated total energy = -0.54470 Ry per atom
Energy above the lowest structure with this stoichiometry = 0.0000 eV per atom
Total magnetic moment = 0.00 μB per atom

Lattice parameters (Å, degrees): 6.7488 6.7488 7.7864 90.00 90.00 90.00
Atoms (fractional coordinates):
Zr 0.1738 0.3258 0.0000
Zr 0.1742 0.3262 0.5000
Zr 0.3258 0.8262 0.0000
Zr 0.3262 0.8258 0.5000
Zr 0.6742 0.1738 0.0000
Zr 0.6738 0.1742 0.5000
Zr 0.8262 0.6742 0.0000
Zr 0.8258 0.6738 0.5000
Ga 0.1315 0.6315 0.2500
Ga 0.1315 0.6315 0.7500
Ga 0.3685 0.1315 0.2500
Ga 0.3685 0.1315 0.7500
Ga 0.6315 0.8685 0.2500
Ga 0.6315 0.8685 0.7500
Ga 0.8685 0.3685 0.2500
Ga 0.8685 0.3685 0.7500
Os 0.0000 0.0000 0.2180
Os 0.0000 0.0000 0.7820
Os 0.5000 0.5000 0.2820
Os 0.5000 0.5000 0.7180

(4)
DFT (PBE-GGA) results for a geometry-optimized Li4AlCu4 structure.

ΔH_f (0 K) = -0.085 eV/atom
DOS(E_F) = 2.472 states/eV/cell
Calculated total energy = -0.23315 Ry per atom
Total magnetic moment = 0.00 μB per atom

Lattice parameters (Å, degrees): 5.8015 5.8015 5.8015 96.87 96.87 139.52
Atoms (fractional coordinates):
Li 0.1710 0.1710 0.3420
Li 0.1710 0.8290 0.0000
Li 0.8290 0.1710 0.0000
Li 0.8290 0.8290 0.6580
Al 0.5000 0.5000 0.0000
Cu 0.1590 0.5000 0.6590
Cu 0.5000 0.1590 0.6590
Cu 0.5000 0.8410 0.3410
Cu 0.8410 0.5000 0.3410

(5)
DFT (PBE-GGA) results for a geometry-optimized SrCaCl2 structure.

DOS(E_F) = 1.920 states/eV/cell
Calculated total energy = -0.24532 Ry per atom
Energy above the lowest structure with this stoichiometry = 0.1946 eV per atom
Raw formation energy = -1494 meV/atom
Total magnetic moment = 0.28 μB per atom

Lattice parameters (Å, degrees): 3.7940 4.5575 7.6506 90.00 90.00 90.00
Atoms (fractional coordinates):
Sr 0.0000 0.0000 0.0000
Ca 0.5000 0.0000 0.5000
Cl 0.0000 0.5000 0.5000
Cl 0.5000 0.5000 0.0000

(6)
DFT (PBE-GGA) results for a geometry-optimized BeCuSi structure.

DOS(E_F) = 1.220 states/eV/cell
Calculated total energy = -0.31902 Ry per atom
Energy above the lowest structure with this stoichiometry = 0.0322 eV per atom
Raw formation energy = 75 meV/atom
Total magnetic moment = 0.00 μB per atom

Lattice parameters (Å, degrees): 3.5763 3.5879 6.0798 73.16 72.93 89.99
Atoms (fractional coordinates):
Be 0.0000 0.0000 0.0000
Be 0.3658 0.8679 0.2678
Cu 0.7176 0.7252 0.5595
Cu 0.8713 0.3729 0.2586
Si 0.2046 0.2110 0.5875
Si 0.5134 0.5112 0.9747

Among the records above, which one has the lowest calculated total energy?
Zr2Ga2Os

Look up the calculated total energy of the fourth one.
-0.23315 Ry per atom

Repeat the first record exactly.
DFT (PBE-GGA) results for a geometry-optimized Ac2In5Hg4 structure.

ΔH_f (0 K) = -0.252 eV/atom
DOS(E_F) = 5.584 states/eV/cell
Calculated total energy = -0.17295 Ry per atom
Total magnetic moment = 0.00 μB per atom

Lattice parameters (Å, degrees): 7.7682 7.7682 7.7682 133.26 104.29 93.90
Atoms (fractional coordinates):
Ac 0.1968 0.1968 0.0000
Ac 0.8032 0.8032 0.0000
In 0.0000 0.5000 0.5000
In 0.3213 0.2566 0.5778
In 0.3213 0.7434 0.0647
In 0.6787 0.2566 0.9353
In 0.6787 0.7434 0.4222
Hg 0.0919 0.7518 0.3401
Hg 0.4117 0.7518 0.6599
Hg 0.5883 0.2482 0.3401
Hg 0.9081 0.2482 0.6599

Which formula does entry 2 have?
Ga2AgAu5